DFT (SCAN) results for a PBEsol-optimized structure of RbSrCl3.

It has space group Pm-3m (No. 221), with a = 5.599 Å, b = 5.599 Å, c = 5.599 Å, α = 90.00°, β = 90.00° and γ = 90.00°. The inequivalent atoms are Rb at (0.000, 0.000, 0.000), Sr at (0.500, 0.500, 0.500) and Cl at (0.000, 0.500, 0.500).

The formation energy (no corrections) comes out at -2.474 eV per atom. The total moment comes out at 0.000 μB/atom. Its crystal system is cubic.

DFT (SCAN) results for a PBEsol-optimized structure of RbSrCl3.

It has space group P4/mbm (No. 127), with a = 7.626 Å, b = 7.626 Å, c = 5.666 Å, α = 90.00°, β = 90.00° and γ = 90.00°. The inequivalent atoms are Rb at (0.000, 0.500, 0.000), Sr at (0.000, 0.000, 0.500), Cl at (0.000, 0.000, 0.000) and Cl at (0.168, 0.332, 0.500).

The formation energy (no corrections) comes out at -2.514 eV per atom. The total moment comes out at 0.000 μB/atom. Its crystal system is tetragonal.

DFT (SCAN) results for a PBEsol-optimized structure of RbSrCl3.

It has space group R-3 (No. 148, hexagonal axes), with a = 7.6035 Å, b = 7.6035 Å, c = 21.0752 Å, α = 90.00°, β = 90.00° and γ = 120.00°. The inequivalent atoms are Rb at (0.0000, 0.0000, 0.1398), Sr at (0.0000, 0.0000, 0.3440) and Cl at (0.0222, 0.3956, 0.9232).

The formation energy (no corrections) comes out at -2.509 eV per atom. The total moment comes out at 0.000 μB/atom. Its crystal system is trigonal.

DFT (SCAN) results for a PBEsol-optimized structure of Rb3TbCl6.

It has space group Fm-3m (No. 225), with a = 11.302 Å, b = 11.302 Å, c = 11.302 Å, α = 90.00°, β = 90.00° and γ = 90.00°. The inequivalent atoms are Rb at (0.000, 0.000, 0.000), Rb at (0.250, 0.250, 0.250), Tb at (0.000, 0.000, 0.500) and Cl at (0.000, 0.000, 0.269).

The formation energy (no corrections) comes out at -2.305 eV per atom. The total moment comes out at 0.000 μB/atom. Its crystal system is cubic.

DFT (SCAN) results for a PBEsol-optimized structure of RbTe2Cl.

It has space group Fm-3m (No. 225), with a = 7.874 Å, b = 7.874 Å, c = 7.874 Å, α = 90.00°, β = 90.00° and γ = 90.00°. The inequivalent atoms are Rb at (0.000, 0.000, 0.000), Te at (0.250, 0.250, 0.250) and Cl at (0.000, 0.000, 0.500).

The formation energy (no corrections) comes out at 0.073 eV per atom. The total moment comes out at 0.000 μB/atom. Its crystal system is cubic.

DFT (SCAN) results for a PBEsol-optimized structure of Rb2TeCl.

It has space group Fm-3m (No. 225), with a = 8.360 Å, b = 8.360 Å, c = 8.360 Å, α = 90.00°, β = 90.00° and γ = 90.00°. The inequivalent atoms are Rb at (0.250, 0.250, 0.250), Te at (0.000, 0.000, 0.000) and Cl at (0.000, 0.000, 0.500).

The formation energy (no corrections) comes out at -1.216 eV per atom. The total moment comes out at 0.250 μB/atom. Its crystal system is cubic.

DFT (SCAN) results for a PBEsol-optimized structure of RbTeCl2.

It has space group R-3m (No. 166, hexagonal axes), with a = 3.5883 Å, b = 3.5883 Å, c = 31.3385 Å, α = 90.00°, β = 90.00° and γ = 120.00°. The inequivalent atoms are Rb at (0.0000, 0.0000, 0.0000), Te at (0.0000, 0.0000, 0.5000) and Cl at (0.0000, 0.0000, 0.0923).

The formation energy (no corrections) comes out at -0.329 eV per atom. The total moment comes out at 0.000 μB/atom. Its crystal system is trigonal.

DFT (SCAN) results for a PBEsol-optimized structure of RbTlTe2Cl.

It has space group P4/mmm (No. 123), with a = 5.604 Å, b = 5.604 Å, c = 5.643 Å, α = 90.00°, β = 90.00° and γ = 90.00°. The inequivalent atoms are Rb at (0.000, 0.000, 0.000), Tl at (0.500, 0.500, 0.000), Te at (0.000, 0.500, 0.500) and Cl at (0.000, 0.000, 0.500).

The formation energy (no corrections) comes out at -0.288 eV per atom. The total moment comes out at 0.000 μB/atom. Its crystal system is tetragonal.